# 1
Here is a geometry-optimized UAg2Se2O8 structure from Alexandria via LeMat-Bulk. Energies are from PBE.

## Properties
As for the total magnetic moment: 0.0 Bohr magnetons per cell. The electronic total energy comes out at -6.232 eV per atom. As for the space group: P2_1/c. Its uncorrected formation energy is -17.40 eV per formula unit.

abc: 6.7105 5.9908 21.9381
angles: 79.29 90.00 90.00
Sites, in units of the cell vectors:
1 Se 0.0408 0.1999 0.2226
2 U 0.0656 0.7363 0.3556
3 O 0.5354 0.0073 0.8679
4 O 0.8796 0.0820 0.7500
5 O 0.6228 0.1840 0.4463
6 O 0.4646 0.9927 0.1321
7 O 0.4214 0.8512 0.3433
8 Se 0.9592 0.8001 0.7774
9 Ag 0.1213 0.7420 0.1619
10 O 0.2391 0.7090 0.4528
11 Ag 0.6213 0.2580 0.3381
12 O 0.6204 0.0820 0.2500
13 U 0.5656 0.2637 0.1444
14 Se 0.5408 0.8001 0.2774
15 Ag 0.3787 0.7420 0.6619
16 Ag 0.4141 0.2337 0.5452
17 Ag 0.5859 0.7663 0.4548
18 O 0.1228 0.8160 0.0537
19 O 0.0354 0.9927 0.6321
20 O 0.6594 0.5317 0.1599
21 O 0.3406 0.4683 0.8401
22 Se 0.4592 0.1999 0.7226
23 O 0.8406 0.5317 0.6599
24 O 0.5786 0.1488 0.6567
25 O 0.1204 0.9180 0.2500
26 O 0.8567 0.5528 0.4383
27 O 0.3567 0.4472 0.0617
28 Ag 0.9141 0.7663 0.9548
29 O 0.7431 0.6606 0.8072
30 O 0.7609 0.2910 0.5472
31 U 0.9344 0.2637 0.6444
32 O 0.7569 0.6606 0.3072
33 O 0.1594 0.4683 0.3401
34 O 0.3796 0.9180 0.7500
35 O 0.8772 0.1840 0.9463
36 O 0.6433 0.5528 0.9383
37 Se 0.6543 0.2649 0.9742
38 O 0.2569 0.3394 0.1928
39 Ag 0.8787 0.2580 0.8381
40 O 0.9646 0.0073 0.3679
41 Se 0.1543 0.7351 0.5258
42 Se 0.8457 0.2649 0.4742
43 O 0.0786 0.8512 0.8433
44 U 0.4344 0.7363 0.8556
45 O 0.2609 0.7090 0.9528
46 O 0.2431 0.3394 0.6928
47 O 0.1433 0.4472 0.5617
48 O 0.7391 0.2910 0.0472
49 O 0.9214 0.1488 0.1567
50 Se 0.3457 0.7351 0.0258
51 Ag 0.0859 0.2337 0.0452
52 O 0.3772 0.8160 0.5537

---

# 2
Here is a geometry-optimized UAgSeO6 structure from Alexandria via LeMat-Bulk. Energies are from PBE.

## Properties
As for the total magnetic moment: 0.0 Bohr magnetons per cell. The electronic total energy comes out at -6.693 eV per atom. As for the space group: P-31c. Its uncorrected formation energy is -12.86 eV per formula unit.

abc: 5.4533 5.4533 9.8332
angles: 90.00 90.00 120.00
Sites, in units of the cell vectors:
1 O 0.6475 0.0142 0.8603
2 O 0.0142 0.6475 0.3603
3 O 0.6333 0.6475 0.1397
4 Ag 0.0000 0.0000 0.5000
5 Se 0.6667 0.3333 0.7500
6 O 0.6475 0.6333 0.6397
7 O 0.3525 0.9858 0.1397
8 O 0.3667 0.0142 0.6397
9 O 0.9858 0.6333 0.8603
10 O 0.6333 0.9858 0.3603
11 U 0.3333 0.6667 0.7500
12 O 0.9858 0.3525 0.6397
13 Se 0.3333 0.6667 0.2500
14 Ag 0.0000 0.0000 0.0000
15 O 0.3525 0.3667 0.3603
16 O 0.3667 0.3525 0.8603
17 U 0.6667 0.3333 0.2500
18 O 0.0142 0.3667 0.1397

---

# 3
Here is a geometry-optimized UAgSe2O8 structure from Alexandria via LeMat-Bulk. Energies are from PBE.

## Properties
As for the total magnetic moment: 0.0 Bohr magnetons per cell. The electronic total energy comes out at -6.268 eV per atom. As for the space group: P-3m1. Its uncorrected formation energy is -14.44 eV per formula unit.

abc: 6.2216 6.2216 6.3846
angles: 90.00 90.00 120.00
Sites, in units of the cell vectors:
1 O 0.1526 0.3057 0.7018
2 U 0.0000 0.0000 0.5000
3 Se 0.6667 0.3333 0.2441
4 O 0.3057 0.1531 0.2982
5 O 0.8474 0.6943 0.2982
6 O 0.8469 0.1526 0.2982
7 Ag 0.0000 0.0000 0.0000
8 O 0.6943 0.8469 0.7018
9 O 0.1531 0.8474 0.7018
10 O 0.3333 0.6667 0.0102
11 O 0.6667 0.3333 0.9898
12 Se 0.3333 0.6667 0.7559